VASP calculation (PBE-GGA) on a relaxed structure of NdAl2Pt3.

Computed properties:
D(E_F): 2.65 states/eV/f.u.
E_form: -1100 meV per atom

Cell: 5.6112 5.6112 3.9910 Å, 90.00 90.00 120.00°
Space group P6/mmm (No. 191)
Asymmetric unit:
Nd (0.0000, 0.0000, 0.0000) x1
Al (0.3333, 0.6667, 0.0000) x2
Pt (0.0000, 0.5000, 0.5000) x3